Entry 1:
This record from Alexandria describes crystalline K3InI4 at its relaxed geometry. The functional is GGA-PBE.

- magnetization (μB/atom) = 0.0000
- total energy (eV for the cell shown) = -43.4
- formation energy from raw total energies (eV/atom) = -1.186
- crystal system = orthorhombic
- density of states at the Fermi level (states/eV/cell) = 0.00
- offset from the most stable computed form (meV per atom) = 37.1

Geometry as POSCAR:
```
K3InI4
1.0
-0.347 3.535 6.102
1.441 -8.947 5.264
11.992 1.740 -0.326
K I In
6 8 2
Direct
0.065 0.164 0.500
0.065 0.668 0.750
0.565 0.332 0.250
0.065 0.668 0.250
0.565 0.332 0.750
0.565 0.836 0.000
0.065 0.837 0.000
0.565 0.163 0.500
0.063 0.832 0.500
0.065 0.332 0.249
0.065 0.332 0.751
0.565 0.668 0.749
0.563 0.168 0.000
0.565 0.668 0.251
0.564 0.832 0.500
0.064 0.168 0.000
```

Entry 2:
This record from Alexandria describes crystalline K6InI8 at its relaxed geometry. The functional is GGA-PBE.

- magnetization (μB/atom) = 0.0000
- total energy (eV for the cell shown) = -39.9
- formation energy from raw total energies (eV/atom) = -1.213
- crystal system = trigonal
- density of states at the Fermi level (states/eV/cell) = 6.89

Geometry as POSCAR:
```
K6InI8
1.0
7.476 0.000 0.000
0.000 8.991 -5.192
0.000 -0.001 10.382
I K In
8 6 1
Direct
0.000 0.667 0.333
0.717 0.000 0.267
0.717 0.268 0.000
0.717 0.733 0.732
0.000 0.333 0.667
0.283 0.000 0.733
0.283 0.732 0.000
0.283 0.267 0.268
0.784 0.625 0.000
0.216 0.375 0.000
0.216 0.625 0.625
0.784 0.375 0.375
0.784 0.000 0.625
0.216 0.000 0.375
0.500 0.000 0.000
```

Entry 3:
This record from Alexandria describes crystalline K2InI at its relaxed geometry. The functional is GGA-PBE.

- magnetization (μB/atom) = 0.1172
- total energy (eV for the cell shown) = -8.0
- formation energy from raw total energies (eV/atom) = -0.375
- crystal system = cubic
- density of states at the Fermi level (states/eV/cell) = 4.86
- offset from the most stable computed form (meV per atom) = 66.5

Geometry as POSCAR:
```
K2InI
1.0
0.000 4.407 4.407
4.407 0.000 4.407
4.407 4.407 0.000
K I In
2 1 1
Direct
0.750 0.750 0.750
0.250 0.250 0.250
0.500 0.500 0.500
0.000 0.000 0.000
```

Entry 4:
This record from Alexandria describes crystalline K3InI4 at its relaxed geometry. The functional is GGA-PBE.

- magnetization (μB/atom) = 0.0000
- total energy (eV for the cell shown) = -22.0
- formation energy from raw total energies (eV/atom) = -1.224
- crystal system = orthorhombic
- density of states at the Fermi level (states/eV/cell) = 0.00
- offset from the most stable computed form (meV per atom) = 0.0

Geometry as POSCAR:
```
K3InI4
1.0
5.046 0.000 0.000
0.000 8.273 -2.834
0.000 -0.081 8.745
K I In
3 4 1
Direct
0.000 0.000 0.500
0.500 0.500 0.500
0.000 0.500 0.000
0.000 0.248 0.248
0.500 0.751 0.249
0.000 0.752 0.752
0.500 0.249 0.751
0.500 0.000 0.000
```

Entry 5:
This record from Alexandria describes crystalline KIn6I8 at its relaxed geometry. The functional is GGA-PBE.

- magnetization (μB/atom) = 0.0000
- total energy (eV for the cell shown) = -38.1
- formation energy from raw total energies (eV/atom) = -0.544
- crystal system = trigonal
- density of states at the Fermi level (states/eV/cell) = 6.75
- offset from the most stable computed form (meV per atom) = 0.0

Geometry as POSCAR:
```
KIn6I8
1.0
-3.562 -1.664 -3.271
8.610 -4.534 -7.070
-4.824 -6.766 8.696
In I K
6 8 1
Direct
0.252 0.337 0.867
0.748 0.663 0.133
0.252 0.133 0.470
0.748 0.867 0.530
0.252 0.530 0.663
0.748 0.470 0.337
0.750 0.972 0.277
0.749 0.333 0.667
0.250 0.277 0.304
0.250 0.696 0.972
0.750 0.723 0.696
0.251 0.667 0.333
0.250 0.028 0.723
0.750 0.304 0.028
0.500 0.000 0.000
```

Entry 6:
This record from Alexandria describes crystalline KIn2I6 at its relaxed geometry. The functional is GGA-PBE.

- magnetization (μB/atom) = 0.0000
- total energy (eV for the cell shown) = -43.7
- formation energy from raw total energies (eV/atom) = -0.662
- crystal system = monoclinic
- density of states at the Fermi level (states/eV/cell) = 6.64

Geometry as POSCAR:
```
KIn2I6
1.0
9.324 0.210 0.204
2.955 10.632 0.249
2.955 0.594 10.619
I In K
12 4 2
Direct
0.674 0.610 0.042
0.574 0.651 0.636
0.837 0.186 0.023
0.174 0.042 0.610
0.663 0.977 0.814
0.926 0.364 0.349
0.337 0.023 0.186
0.326 0.390 0.958
0.826 0.958 0.390
0.163 0.814 0.977
0.074 0.636 0.651
0.426 0.349 0.364
0.782 0.809 0.619
0.218 0.191 0.381
0.718 0.381 0.191
0.282 0.619 0.809
0.250 0.123 0.877
0.750 0.877 0.123
```

- The highest density of states at the Fermi level belongs to which entry?
  K6InI8